[1]
TbYTh2Se4 | PBE-GGA | relaxed

Lattice parameters (Å, degrees): 4.0820 7.4624 6.9895 71.41 90.00 90.00
Last column: nearest neighbours and their distance in Å.
Fractional coordinates of all 8 atoms:
Tb (0.0000, 0.5000, 0.5000)  6 Se 2.87-2.88
Y (0.5000, 0.5000, 0.0000)  6 Se 2.87
Th (0.0000, 0.0000, 0.0000)  6 Se 3.00
Th (0.5000, 0.0000, 0.5000)  6 Se 3.00
Se (0.0000, 0.7352, 0.7551)  1 Tb 2.87, 2 Y 2.87, 3 Th 3.00
Se (0.0000, 0.2648, 0.2449)  1 Tb 2.87, 2 Y 2.87, 3 Th 3.00
Se (0.5000, 0.7354, 0.2543)  1 Y 2.87, 2 Tb 2.88, 3 Th 3.00
Se (0.5000, 0.2646, 0.7457)  1 Y 2.87, 2 Tb 2.88, 3 Th 3.00

Output
ρ: 8.5 g/cm³
Energy: -6.629 eV per atom

---

[2]
V2Ge2Os | PBE-GGA | relaxed

Lattice parameters (Å, degrees): 6.5559 6.5559 3.3092 90.00 90.00 90.00
Last column: nearest neighbours and their distance in Å.
Fractional coordinates of all 10 atoms:
Ge (0.3628, 0.8628, 0.0000)  6 V 2.49-2.57, 2 Os 2.54, 1 Ge 2.54
Ge (0.8628, 0.6372, 0.0000)  6 V 2.49-2.57, 2 Os 2.54, 1 Ge 2.54
Ge (0.6372, 0.1372, 0.0000)  6 V 2.49-2.57, 2 Os 2.54, 1 Ge 2.54
Ge (0.1372, 0.3628, 0.0000)  6 V 2.49-2.57, 2 Os 2.54, 1 Ge 2.54
Os (0.0000, 0.0000, 0.0000)  4 Ge 2.54
Os (0.5000, 0.5000, 0.0000)  4 Ge 2.54
V (0.1623, 0.6623, 0.5000)  6 Ge 2.49-2.57
V (0.6623, 0.8377, 0.5000)  6 Ge 2.49-2.57
V (0.8377, 0.3377, 0.5000)  6 Ge 2.49-2.57
V (0.3377, 0.1623, 0.5000)  6 Ge 2.49-2.57

Output
ρ: 10.2 g/cm³
ΔH_f (0 K): -0.18 eV per formula unit
Energy: -7.777 eV per atom

---

[3]
ZnP2Ru | PBE-GGA | relaxed

Lattice parameters (Å, degrees): 3.9900 3.3945 4.5837 85.33 90.00 90.00
Last column: nearest neighbours and their distance in Å.
Fractional coordinates of all 4 atoms:
P (0.0000, 0.2341, 0.9781)  1 P 2.09
P (0.0000, 0.2659, 0.5219)  1 P 2.09
Ru (0.5000, 0.2500, 0.2500)  4 P 2.36
Zn (0.5000, 0.7500, 0.7500)  4 Ru 2.74-2.96, 8 P 2.80-2.84

Output
ρ: 6.1 g/cm³
ΔH_f (0 K): -0.09 eV per formula unit
Energy: -5.365 eV per atom

---

Please write out number 3 again, unchanged.
ZnP2Ru | PBE-GGA | relaxed

Lattice parameters (Å, degrees): 3.9900 3.3945 4.5837 85.33 90.00 90.00
Last column: nearest neighbours and their distance in Å.
Fractional coordinates of all 4 atoms:
P (0.0000, 0.2341, 0.9781)  1 P 2.09
P (0.0000, 0.2659, 0.5219)  1 P 2.09
Ru (0.5000, 0.2500, 0.2500)  4 P 2.36
Zn (0.5000, 0.7500, 0.7500)  4 Ru 2.74-2.96, 8 P 2.80-2.84

Output
ρ: 6.1 g/cm³
ΔH_f (0 K): -0.09 eV per formula unit
Energy: -5.365 eV per atom